Density functional theory data (GGA-PBE) for an optimized crystal structure of ZrCoW2.

The structure in POSCAR format:
```
ZrCoW2
1.0
4.389 0.000 0.000
0.000 2.785 0.000
0.000 0.921 5.333
Zr W Co
1 2 1
Direct
0.000 0.502 0.511
0.500 0.236 0.227
0.000 0.003 0.006
0.500 0.760 0.756
```

## Properties
- Symmetry: Pm, No. 6
- Crystal system: monoclinic
- ΔH_f (0 K): 0.21 eV per atom



Density functional theory data (GGA-PBE) for an optimized crystal structure of ZrCo2W.

The structure in POSCAR format:
```
ZrCo2W
1.0
0.065 -3.476 -2.678
0.240 -4.052 1.669
-3.476 -2.671 -0.214
Co W Zr
2 1 1
Direct
0.750 0.750 0.750
0.250 0.250 0.250
0.500 0.500 0.500
0.000 0.000 0.000
```

## Properties
- Symmetry: Fm-3m, No. 225
- Crystal system: cubic
- ΔH_f (0 K): 0.05 eV per atom



Density functional theory data (GGA-PBE) for an optimized crystal structure of Zr2CoW.

The structure in POSCAR format:
```
Zr2CoW
1.0
-3.287 -0.177 -4.110
-0.389 -4.268 3.061
-2.592 0.459 1.310
Zr W Co
2 1 1
Direct
0.500 0.500 0.000
0.000 0.000 0.000
0.000 0.500 0.500
0.500 0.000 0.500
```

## Properties
- Symmetry: C2/m, No. 12
- Crystal system: monoclinic
- ΔH_f (0 K): 0.22 eV per atom



Density functional theory data (GGA-PBE) for an optimized crystal structure of Zr3CoW.

The structure in POSCAR format:
```
Zr3CoW
1.0
4.734 0.000 0.000
0.000 4.734 0.000
0.000 0.000 4.734
W Zr Co
1 3 1
Direct
0.500 0.500 0.500
0.000 0.000 0.500
0.000 0.500 0.000
0.500 0.000 0.000
0.000 0.000 0.000
```

## Properties
- Symmetry: Pm-3m, No. 221
- Crystal system: cubic
- ΔH_f (0 K): 0.65 eV per atom



Density functional theory data (GGA-PBE) for an optimized crystal structure of Zr2CoW.

The structure in POSCAR format:
```
Zr2CoW
1.0
-0.770 -3.877 -2.404
1.506 -2.517 3.578
-3.067 -0.133 1.197
Zr Co W
2 1 1
Direct
0.500 0.500 0.000
0.000 0.000 0.000
0.500 0.000 0.500
0.000 0.500 0.500
```

## Properties
- Symmetry: P4/mmm, No. 123
- Crystal system: tetragonal
- ΔH_f (0 K): -0.01 eV per atom



Density functional theory data (GGA-PBE) for an optimized crystal structure of Zr2CoW.

The structure in POSCAR format:
```
Zr2CoW
1.0
3.279 0.000 0.000
0.000 3.279 0.000
0.000 0.000 6.562
Zr Co W
2 1 1
Direct
0.000 0.000 0.490
0.000 0.000 0.010
0.500 0.500 0.250
0.500 0.500 0.750
```

## Properties
- Symmetry: P4/mmm, No. 123
- Crystal system: tetragonal
- ΔH_f (0 K): -0.06 eV per atom



no.,polymorph energy (0 for the lowest one) (eV per atom)
1,0.1494
2,0.1116
3,0.2789
4,0.0000
5,0.0505
6,0.0000